No. 1
First-principles (PBE) data for Li7Tl4In after structural relaxation, as listed in the Alexandria database.

a b c (Å): 5.1650 8.1678 7.3537
angles (deg): 64.60 69.44 71.57
Fractional coordinates of all 12 atoms:
Tl1 0.5688 0.2782 0.5842
Li1 0.8016 0.8818 0.5151
Tl2 0.3171 0.3479 0.0178
Li2 0.7701 0.2590 0.2008
Li3 0.5000 0.0000 0.0000
Li4 0.0767 0.5767 0.2700
Li5 0.9233 0.4233 0.7300
Li6 0.2299 0.7410 0.7992
In1 0.0000 0.0000 0.0000
Tl3 0.6829 0.6521 0.9822
Tl4 0.4312 0.7218 0.4158
Li7 0.1984 0.1182 0.4849

No. 2
First-principles (PBE) data for LiTlIn2 after structural relaxation, as listed in the Alexandria database.

a b c (Å): 5.2971 3.3166 5.8654
angles (deg): 81.82 90.00 90.00
Fractional coordinates of all 4 atoms:
Tl1 0.5000 0.7500 0.7500
Li1 0.5000 0.2500 0.2500
In1 0.0000 0.4541 0.4855
In2 0.0000 0.0459 0.0145

No. 3
First-principles (PBE) data for Li5Tl6In2 after structural relaxation, as listed in the Alexandria database.

a b c (Å): 3.3754 10.2003 18.0224
angles (deg): 90.00 90.00 90.00
Fractional coordinates of all 26 atoms:
Tl1 0.0000 0.9576 0.9046
Tl2 0.0000 0.4576 0.5954
In1 0.0000 0.8456 0.2251
Tl3 0.0000 0.5424 0.4046
Li1 0.5000 0.5000 0.0000
In2 0.0000 0.3456 0.2749
Li2 0.5000 0.6762 0.5233
In3 0.0000 0.1544 0.7749
Tl4 0.5000 0.6713 0.8778
Tl5 0.0000 0.6286 0.1096
Tl6 0.0000 0.8714 0.6096
Li3 0.5000 0.5950 0.2558
Tl7 0.0000 0.1286 0.3904
Tl8 0.0000 0.0424 0.0954
Li4 0.5000 0.1762 0.9767
Tl9 0.5000 0.8287 0.3778
Tl10 0.5000 0.3287 0.1222
Li5 0.5000 0.8238 0.0233
Tl11 0.0000 0.3714 0.8904
Li6 0.5000 0.4050 0.7442
Li7 0.5000 0.3238 0.4767
Li8 0.5000 0.0000 0.5000
Li9 0.5000 0.0950 0.2442
Tl12 0.5000 0.1713 0.6222
Li10 0.5000 0.9050 0.7558
In4 0.0000 0.6544 0.7251

For the records above, the corresponding formation energy values read -0.1400 -0.0657 -0.1236 eV/atom.